The following is a PBE calculation of a relaxed Ce3Tc3Ge8 crystal, from Alexandria.

Computed properties:
SG: Immm, No. 71
Total energy in eV per cell: -91.2
Energy of formation from the pure elements in meV/atom: -385
Magnetization in μB per formula unit: 0.8
Crystal system: orthorhombic
V in Å³ per cell: 268.9

```
Ce3Tc3Ge8
1.0
-2.136 5.279 5.962
2.136 -5.279 5.962
2.136 5.279 -5.962
Ce Tc Ge
3 3 8
Cartesian
0.000 0.000 0.000
0.000 0.000 3.912
0.000 0.000 8.012
2.136 3.025 0.000
0.000 5.279 0.000
0.000 2.254 5.962
2.136 -1.360 1.938
2.136 -2.175 4.498
2.136 1.360 1.938
0.000 3.104 1.464
2.136 2.175 4.498
0.000 3.919 4.024
0.000 7.453 1.464
0.000 6.639 4.024
```



The following is a PBE calculation of a relaxed KTcW2 crystal, from Alexandria.

Computed properties:
SG: F-43m, No. 216
Total energy in eV per cell: -30.9
Energy of formation from the pure elements in meV/atom: 1605
Magnetization in μB per formula unit: 0.0
Crystal system: cubic
Distance to the lowest polymorph of the same formula in meV/atom: 847
V in Å³ per cell: 70.4

```
KTcW2
1.0
0.000 3.277 3.277
3.277 0.000 3.277
3.277 3.277 0.000
K Tc W
1 1 2
Cartesian
0.000 0.000 0.000
1.639 1.639 1.639
3.277 3.277 3.277
4.916 4.916 4.916
```



The following is a PBE calculation of a relaxed PaAl4Rh crystal, from Alexandria.

Computed properties:
SG: Pmma, No. 51
Total energy in eV per cell: -70.0
Energy of formation from the pure elements in meV/atom: -529
Magnetization in μB per formula unit: 0.5
Crystal system: orthorhombic
V in Å³ per cell: 215.6

```
PaAl4Rh
1.0
7.581 0.000 0.000
0.000 4.131 0.000
0.000 0.000 6.883
Pa Al Rh
2 8 2
Cartesian
1.895 0.000 0.894
5.686 0.000 5.989
0.000 0.000 3.441
0.462 2.066 5.628
1.895 2.066 3.139
3.329 2.066 5.628
3.791 0.000 3.441
4.253 2.066 1.255
5.686 2.066 3.743
7.120 2.066 1.255
1.895 0.000 4.943
5.686 0.000 1.939
```



The following is a PBE calculation of a relaxed Tb3CeY2Er6 crystal, from Alexandria.

Computed properties:
SG: C2/m, No. 12
Total energy in eV per cell: -59.7
Energy of formation from the pure elements in meV/atom: 38
Magnetization in μB per formula unit: 1.1
Crystal system: monoclinic
V in Å³ per cell: 374.1

```
Tb3CeY2Er6
1.0
3.063 -5.302 0.000
3.063 5.302 0.000
-2.039 0.000 11.520
Tb Ce Y Er
3 1 2 6
Cartesian
0.000 0.000 0.000
3.063 1.777 0.000
3.063 -1.777 0.000
2.043 0.000 5.760
2.043 3.535 5.760
2.043 -3.535 5.760
1.028 1.752 2.880
0.019 0.000 8.642
1.028 -1.752 2.880
3.058 1.752 8.640
4.066 0.000 2.878
3.058 -1.752 8.640
```



The following is a PBE calculation of a relaxed GaSn3Br7 crystal, from Alexandria.

Computed properties:
Energy relative to the elements, uncorrected in eV per atom: -0.66
SG: C2/m, No. 12
Total energy in eV per cell: -34.0
Magnetization in μB per formula unit: 0.0
Crystal system: monoclinic
V in Å³ per cell: 370.7

```
GaSn3Br7
1.0
4.813 -5.564 0.000
4.813 5.564 0.000
-2.657 0.000 6.922
Ga Sn Br
1 3 7
Cartesian
0.000 0.000 0.000
3.485 2.579 3.461
4.813 0.000 0.000
3.485 -2.579 3.461
-1.328 0.000 3.461
1.133 2.354 5.362
2.527 0.000 1.895
5.837 2.354 1.560
1.133 -2.354 5.362
4.442 0.000 5.027
5.837 -2.354 1.560
```



The following is a PBE calculation of a relaxed FeCu2HgRh crystal, from Alexandria.

Computed properties:
SG: P4/mmm, No. 123
Total energy in eV per cell: -16.9
Energy of formation from the pure elements in meV/atom: 1486
Magnetization in μB per formula unit: 4.1
Crystal system: tetragonal
V in Å³ per cell: 106.1

```
FeCu2HgRh
1.0
4.676 0.000 0.000
0.000 4.676 0.000
0.000 0.000 4.851
Fe Cu Hg Rh
1 2 1 1
Cartesian
0.000 0.000 0.000
0.000 2.338 2.426
2.338 0.000 2.426
0.000 0.000 2.426
2.338 2.338 0.000
```



The following is a PBE calculation of a relaxed PmTmMnCd crystal, from Alexandria.

Computed properties:
SG: F-43m, No. 216
Total energy in eV per cell: -19.3
Energy of formation from the pure elements in meV/atom: 0
Magnetization in μB per formula unit: 3.2
Crystal system: cubic
V in Å³ per cell: 99.1

```
PmTmMnCd
1.0
0.000 3.673 3.673
3.673 0.000 3.673
3.673 3.673 0.000
Pm Tm Mn Cd
1 1 1 1
Cartesian
0.000 0.000 0.000
3.673 3.673 3.673
5.509 5.509 5.509
1.836 1.836 1.836
```



The following is a PBE calculation of a relaxed Zr5U crystal, from Alexandria.

Computed properties:
SG: Cmmm, No. 65
Total energy in eV per cell: -53.0
Energy of formation from the pure elements in meV/atom: 178
Magnetization in μB per formula unit: 2.5
Crystal system: orthorhombic
V in Å³ per cell: 139.4

```
Zr5U
1.0
2.233 -6.885 0.000
2.233 6.885 0.000
0.000 0.000 4.534
Zr U
5 1
Cartesian
0.000 0.000 0.000
2.233 4.631 2.267
2.233 2.319 0.000
2.233 -2.319 0.000
2.233 -4.631 2.267
2.233 0.000 2.267
```



The following is a PBE calculation of a relaxed Rb2CdPH crystal, from Alexandria.

Computed properties:
SG: P4/mmm, No. 123
Total energy in eV per cell: -10.8
Magnetization in μB per formula unit: 0.2
Crystal system: tetragonal
Distance to the lowest polymorph of the same formula in meV/atom: 398
V in Å³ per cell: 140.4

```
Rb2CdPH
1.0
5.800 0.000 0.000
0.000 5.800 0.000
0.000 0.000 4.172
Rb Cd P H
2 1 1 1
Cartesian
0.000 2.900 0.000
2.900 0.000 0.000
0.000 0.000 2.086
2.900 2.900 2.086
0.000 0.000 0.000
```



The following is a PBE calculation of a relaxed LiGaCu crystal, from Alexandria.

Computed properties:
SG: F-43m, No. 216
Total energy in eV per cell: -9.1
Energy of formation from the pure elements in meV/atom: -23
Magnetization in μB per formula unit: 0.0
Crystal system: cubic
V in Å³ per cell: 49.3

```
LiGaCu
1.0
0.000 2.910 2.910
2.910 0.000 2.910
2.910 2.910 0.000
Li Ga Cu
1 1 1
Cartesian
0.000 0.000 0.000
2.910 2.910 2.910
4.364 4.364 4.364
```



The following is a PBE calculation of a relaxed Tm2FeH crystal, from Alexandria.

Computed properties:
SG: R-3m, No. 166
Total energy in eV per cell: -19.2
Magnetization in μB per formula unit: 2.4
Crystal system: trigonal
V in Å³ per cell: 74.2

```
Tm2FeH
1.0
1.621 0.936 8.149
-1.621 0.936 8.149
0.000 -1.872 8.149
Tm Fe H
2 1 1
Cartesian
0.000 0.000 2.669
0.000 0.000 21.778
0.000 0.000 0.000
0.000 0.000 12.224
```



The following is a PBE calculation of a relaxed KRb4Na2 crystal, from Alexandria.

Computed properties:
SG: I4/mmm, No. 139
Total energy in eV per cell: -6.4
Energy of formation from the pure elements in meV/atom: 169
Magnetization in μB per formula unit: 0.0
Crystal system: tetragonal
Distance to the lowest polymorph of the same formula in meV/atom: 83
V in Å³ per cell: 624.2

```
KRb4Na2
1.0
-3.947 3.947 10.014
3.947 -3.947 10.014
3.947 3.947 -10.014
K Rb Na
1 4 2
Cartesian
0.000 0.000 0.000
3.947 0.000 0.000
0.000 0.000 4.305
0.000 3.947 0.000
0.000 0.000 15.724
0.000 0.000 8.264
0.000 0.000 11.765
```



Question: magnetization of number 8 (Zr5U)?
Answer: 2.5 μB per formula unit